# 1
Material: GaCu
Method: DFT, GGA-PBE
State: optimized geometry

abc: 5.0897 5.0897 5.0897
angles: 90.00 90.00 90.00
Closest atoms and distances in Å follow each position.
Space group Fm-3m (No. 225)
Unique sites:
Ga 0.0000 0.0000 0.0000 [4 per cell]  6 Cu 2.54
Cu 0.0000 0.0000 0.5000 [4 per cell]  6 Ga 2.54

Computed properties:
The value obtained for the formation enthalpy at 0 K is 194 meV/atom. The calculation puts the energy at -26.937 eV for the cell shown. The calculation puts the magnetic moment at 0.0 μB per formula unit.

# 2
Material: BeZn2Si
Method: DFT, GGA-PBE
State: optimized geometry

abc: 3.7598 3.7598 7.5956
angles: 90.00 90.00 90.00
Closest atoms and distances in Å follow each position.
Space group I-4m2 (No. 119)
Unique sites:
Be 0.0000 0.0000 0.0000 [2 per cell]  8 Zn 2.66-2.67, 4 Si 2.67
Zn 0.0000 0.0000 0.5000 [2 per cell]  4 Be 2.66, 4 Si 2.67, 4 Zn 2.67
Zn 0.0000 0.5000 0.2500 [2 per cell]  4 Si 2.66, 4 Be 2.67, 4 Zn 2.67
Si 0.0000 0.5000 0.7500 [2 per cell]  8 Zn 2.66-2.67, 4 Be 2.67

Computed properties:
The calculation puts the energy at -20.971 eV for the cell shown. The calculation puts the magnetic moment at 0.0 μB per formula unit. The formation energy (no corrections) is 0.30 eV per atom.

# 3
Material: TeH2Pt2
Method: DFT, GGA-PBE
State: optimized geometry

abc: 3.5793 3.5793 9.7811
angles: 90.00 90.00 90.00
Closest atoms and distances in Å follow each position.
Space group I4/mmm (No. 139)
Unique sites:
Te 0.0000 0.0000 0.0000 [2 per cell]  10 Pt 2.99-3.31, 8 H 3.03
H 0.0000 0.5000 0.2500 [4 per cell]  4 Pt 1.99
Pt 0.0000 0.0000 0.3381 [4 per cell]  4 H 1.99

Computed properties:
The calculation puts the energy at -41.913 eV for the cell shown. The calculation puts the magnetic moment at 0.0 μB per formula unit. The energy above the lowest structure with this stoichiometry is 0.41 eV per formula unit.